First-principles (PBE) data for a geometry-optimized CuSeF3 structure, as listed in Alexandria via LeMat-Bulk.

Summary:
V = 707.2 Å³ per cell
magnetic moment = 0.000 μB/atom
density of states at the Fermi level = 1.0 states/eV/f.u.
relative energy among the computed polymorphs = 0.000 eV per atom
DFT total energy = -152.34 eV/cell
formation energy without anion corrections = -1.17 eV/atom

Cell lengths 6.940, 10.229, 10.009 Å; angles 90.00, 95.61, 90.00 degrees
Space group C2/c (No. 15)
Unique sites:
1 Cu 0.162 0.036 0.408 [8 per cell]
2 Se 0.170 0.218 0.250 [8 per cell]
3 F 0.091 0.093 0.053 [8 per cell]
4 F 0.128 0.449 0.138 [8 per cell]
5 F 0.247 0.330 0.387 [8 per cell]